Entry 1:
Computed, not measured: an optimized crystal structure of Al2CoP at the GGA-PBE level of DFT.

Cell lengths 4.573, 4.573, 4.573 Å; angles 132.12, 132.08, 70.06 degrees
Element x y z (fractional)
1 Al 0.000 0.000 0.000
2 Al 0.500 0.500 0.000
3 P 0.250 0.750 0.500
4 Co 0.750 0.250 0.500

## Properties
- symmetry = I4/mmm, No. 139
- formation energy from the elements (meV per atom) = -118
- crystal system = tetragonal
- V (Å³ per atom) = 12.9


Entry 2:
Computed, not measured: an optimized crystal structure of Al2CoP at the GGA-PBE level of DFT.

Cell lengths 2.796, 2.796, 7.001 Å; angles 90.00, 90.00, 89.99 degrees
Last column: magnetic moment on the atom in μB.
Element x y z (fractional)
1 Al 0.500 0.500 0.286  0.00
2 Al 0.000 0.000 0.989  0.01
3 P 0.500 0.500 0.698  0.00
4 Co 0.000 0.000 0.527  0.35

## Properties
- symmetry = P4mm, No. 99
- formation energy from the elements (meV per atom) = -194
- crystal system = tetragonal
- V (Å³ per atom) = 13.7


Entry 3:
Computed, not measured: an optimized crystal structure of AlCoP2 at the GGA-PBE level of DFT.

Cell lengths 5.693, 5.693, 5.693 Å; angles 151.94, 138.45, 50.89 degrees
Element x y z (fractional)
1 P 0.427 0.427 0.000
2 P 0.073 0.073 0.000
3 Al 0.750 0.250 0.500
4 Co 0.250 0.750 0.500

## Properties
- symmetry = Immm, No. 71
- formation energy from the elements (meV per atom) = -85
- crystal system = orthorhombic
- V (Å³ per atom) = 14.3


Entry 4:
Computed, not measured: an optimized crystal structure of Al2Co2P at the GGA-PBE level of DFT.

Cell lengths 5.813, 5.813, 3.750 Å; angles 90.00, 90.00, 90.00 degrees
Element x y z (fractional)
1 P 0.500 0.500 0.000
2 P 0.000 0.000 0.000
3 Al 0.843 0.343 0.500
4 Al 0.157 0.657 0.500
5 Al 0.657 0.843 0.500
6 Al 0.343 0.157 0.500
7 Co 0.343 0.843 0.000
8 Co 0.157 0.343 0.000
9 Co 0.657 0.157 0.000
10 Co 0.843 0.657 0.000

## Properties
- symmetry = P4/mbm, No. 127
- formation energy from the elements (meV per atom) = -362
- crystal system = tetragonal
- V (Å³ per atom) = 12.7


Entry 5:
Computed, not measured: an optimized crystal structure of Al2CoP at the GGA-PBE level of DFT.

Cell lengths 5.813, 5.813, 4.060 Å; angles 69.73, 69.73, 26.41 degrees
Element x y z (fractional)
1 Al 0.003 0.003 0.997
2 Al 0.805 0.805 0.694
3 P 0.184 0.184 0.315
4 Co 0.507 0.507 0.494

## Properties
- symmetry = Cm, No. 8
- formation energy from the elements (meV per atom) = -279
- crystal system = monoclinic
- V (Å³ per atom) = 14.3


Entry 6:
Computed, not measured: an optimized crystal structure of Al2CoP at the GGA-PBE level of DFT.

Cell lengths 4.728, 4.728, 4.728 Å; angles 134.32, 134.32, 66.59 degrees
Element x y z (fractional)
1 Al 0.250 0.750 0.500
2 Al 0.000 0.000 0.000
3 P 0.750 0.250 0.500
4 Co 0.500 0.500 0.000

## Properties
- symmetry = I-4m2, No. 119
- formation energy from the elements (meV per atom) = -30
- crystal system = tetragonal
- V (Å³ per atom) = 13.3


Entry 7:
Computed, not measured: an optimized crystal structure of AlCoP2 at the GGA-PBE level of DFT.

Cell lengths 4.067, 4.070, 3.143 Å; angles 90.00, 90.00, 90.00 degrees
Element x y z (fractional)
1 P 0.500 0.500 0.000
2 P 0.000 0.000 0.000
3 Al 0.500 0.000 0.500
4 Co 0.000 0.500 0.500

## Properties
- symmetry = P4/mmm, No. 123
- formation energy from the elements (meV per atom) = 166
- crystal system = tetragonal
- V (Å³ per atom) = 13.0


Entry 8:
Computed, not measured: an optimized crystal structure of Pa2AlCo12P3 at the GGA-PBE level of DFT.

Cell lengths 6.201, 6.201, 6.201 Å; angles 82.53, 82.53, 82.53 degrees
Last column: magnetic moment on the atom in μB.
Element x y z (fractional)
1 P 0.500 0.000 0.000  -0.01
2 P 0.000 0.500 0.000  -0.01
3 P 0.000 0.000 0.500  -0.01
4 Co 0.816 0.326 0.816  0.30
5 Co 0.816 0.816 0.326  0.30
6 Co 0.624 0.105 0.624  0.58
7 Co 0.376 0.376 0.895  0.58
8 Co 0.674 0.184 0.184  0.30
9 Co 0.624 0.624 0.105  0.58
10 Co 0.895 0.376 0.376  0.58
11 Co 0.184 0.184 0.674  0.30
12 Co 0.376 0.895 0.376  0.58
13 Co 0.105 0.624 0.624  0.58
14 Co 0.184 0.674 0.184  0.30
15 Co 0.326 0.816 0.816  0.30
16 Al 0.000 0.000 0.000  -0.01
17 Pa 0.357 0.357 0.357  -0.26
18 Pa 0.643 0.643 0.643  -0.26

## Properties
- symmetry = R-3m, No. 166
- formation energy from the elements (meV per atom) = -175
- crystal system = trigonal
- V (Å³ per atom) = 12.9


Entry 9:
Computed, not measured: an optimized crystal structure of Pm2AlCo4P3 at the GGA-PBE level of DFT.

Cell lengths 3.943, 3.943, 9.510 Å; angles 90.00, 90.00, 90.00 degrees
Last column: magnetic moment on the atom in μB.
Element x y z (fractional)
1 Pm 0.000 0.500 0.752  0.00
2 Pm 0.500 0.000 0.248  0.00
3 Co 0.000 0.500 0.366  -0.03
4 Co 0.000 0.000 0.000  0.53
5 Co 0.500 0.500 0.000  0.55
6 Co 0.500 0.000 0.634  -0.03
7 P 0.500 0.000 0.873  0.01
8 P 0.000 0.500 0.127  0.01
9 P 0.000 0.000 0.500  -0.01
10 Al 0.500 0.500 0.500  0.01

## Properties
- symmetry = P-4m2, No. 115
- formation energy from the elements (meV per atom) = -868
- crystal system = tetragonal
- V (Å³ per atom) = 14.8


Entry 10:
Computed, not measured: an optimized crystal structure of AlCo2PRh at the GGA-PBE level of DFT.

Cell lengths 4.560, 4.556, 4.560 Å; angles 90.00, 90.00, 90.00 degrees
Last column: magnetic moment on the atom in μB.
Element x y z (fractional)
1 P 0.500 0.500 0.500  0.02
2 Rh 0.000 0.000 0.000  0.63
3 Co 0.500 0.000 0.000  1.78
4 Co 0.000 0.000 0.500  2.41
5 Al 0.000 0.500 0.000  0.00

## Properties
- symmetry = P4/mmm, No. 123
- formation energy from the elements (meV per atom) = 1045
- crystal system = tetragonal
- V (Å³ per atom) = 19.0


Entry 11:
Computed, not measured: an optimized crystal structure of AlCo2PRu at the GGA-PBE level of DFT.

Cell lengths 4.211, 4.446, 4.211 Å; angles 90.00, 90.00, 90.00 degrees
Last column: magnetic moment on the atom in μB.
Element x y z (fractional)
1 Co 0.000 0.000 0.500  1.34
2 Co 0.500 0.000 0.000  1.41
3 Al 0.000 0.000 0.000  -0.04
4 P 0.000 0.500 0.000  0.08
5 Ru 0.500 0.500 0.500  1.79

## Properties
- symmetry = P4/mmm, No. 123
- formation energy from the elements (meV per atom) = 1288
- crystal system = tetragonal
- V (Å³ per atom) = 15.8


Entry 12:
Computed, not measured: an optimized crystal structure of AlCoPS2 at the GGA-PBE level of DFT.

Cell lengths 4.653, 4.653, 4.082 Å; angles 90.00, 90.00, 90.00 degrees
Element x y z (fractional)
1 P 0.000 0.000 0.500
2 S 0.500 0.000 0.000
3 S 0.000 0.500 0.000
4 Al 0.500 0.500 0.500
5 Co 0.000 0.000 0.000

## Properties
- symmetry = P4/mmm, No. 123
- ΔE to the lowest computed polymorph (meV/atom) = 0
- crystal system = tetragonal
- energy relative to the elements, uncorrected (eV/atom) = 0.372
- V (Å³ per atom) = 17.7


Total energy values (in eV/atom) by entry order: -5.118; -5.194; -5.502; -5.783; -5.279; -5.030; -5.251; -7.077; -6.658; -5.098; -5.240; -4.531.